Entry 1:
Mg5Cd2HgAu2 | PBE | optimized geometry

Unit cell a=10.588 b=10.588 c=3.856 alpha=90.00 beta=90.00 gamma=90.00
Space group P4/mbm (No. 127)
Symmetry-distinct sites (fractional):
Mg1 0.000 0.500 0.000 [2 per cell]
Mg2 0.076 0.199 0.000 [8 per cell]
Cd1 0.168 0.668 0.500 [4 per cell]
Hg1 0.000 0.000 0.500 [2 per cell]
Au1 0.130 0.370 0.500 [4 per cell]

Values from the calculation:
Energy of formation, eV/atom: -0.286



Entry 2:
LiAlGe | PBE | optimized geometry

Unit cell a=3.813 b=13.044 c=4.284 alpha=90.00 beta=90.00 gamma=90.00
Space group Cmcm (No. 63)
Symmetry-distinct sites (fractional):
Li1 0.000 0.073 0.250 [4 per cell]
Al1 0.000 0.258 0.750 [4 per cell]
Ge1 0.000 0.381 0.250 [4 per cell]

Values from the calculation:
Energy of formation, eV/atom: -0.173



Entry 3:
Ca2Pr3Bi3 | PBE | optimized geometry

Unit cell a=9.4547 b=9.4547 c=6.7488 alpha=90.00 beta=90.00 gamma=120.00
Space group P6_3/mcm (No. 193)
Symmetry-distinct sites (fractional):
Ca1 0.3333 0.6667 0.0000 [4 per cell]
Pr1 0.0000 0.2438 0.2500 [6 per cell]
Bi1 0.0000 0.3931 0.7500 [6 per cell]

Values from the calculation:
Energy of formation, eV/atom: -0.766



Entry 4:
Na4SrAg2 | PBE | optimized geometry

Unit cell a=4.658 b=19.890 c=4.656 alpha=90.00 beta=90.00 gamma=90.00
Space group Cmmm (No. 65)
Symmetry-distinct sites (fractional):
Na1 0.000 0.172 0.000 [4 per cell]
Na2 0.000 0.327 0.500 [4 per cell]
Sr1 0.000 0.500 0.000 [2 per cell]
Ag1 0.000 0.069 0.500 [4 per cell]

Values from the calculation:
Energy of formation, eV/atom: -0.067